Here is a relaxed Li3Pt crystal from the Alexandria database. Energies are from PBE.

Summary:
Crystal system: cubic
Energy above the most stable polymorph in this dataset in meV per atom: 45.7
V in Å³ per cell: 56

Unit cell a=3.8288 b=3.8288 c=3.8288 alpha=90.00 beta=90.00 gamma=90.00
Sites, in units of the cell vectors:
Li 0.0000 0.0000 0.5000
Li 0.0000 0.5000 0.0000
Li 0.5000 0.0000 0.0000
Pt 0.5000 0.5000 0.5000



Here is a relaxed ReRu2Pt crystal from the Alexandria database. Energies are from PBE.

Summary:
Crystal system: orthorhombic
Energy above the most stable polymorph in this dataset in meV per atom: 37.2
V in Å³ per cell: 116

Unit cell a=5.4977 b=7.7009 c=2.7419 alpha=90.00 beta=90.00 gamma=90.00
Sites, in units of the cell vectors:
Re 0.0000 0.0000 0.0000
Re 0.5000 0.5000 0.0000
Ru 0.2500 0.2500 0.5000
Ru 0.2500 0.7500 0.5000
Ru 0.7500 0.2500 0.5000
Ru 0.7500 0.7500 0.5000
Pt 0.0000 0.5000 0.0000
Pt 0.5000 0.0000 0.0000



Here is a relaxed AcDy7Y2 crystal from the Alexandria database. Energies are from PBE.

Summary:
Crystal system: triclinic
V in Å³ per cell: 328

Unit cell a=6.2301 b=7.1843 c=8.0201 alpha=77.13 beta=75.11 gamma=73.25
Sites, in units of the cell vectors:
Ac 0.0000 0.0000 0.0000
Dy 0.0000 0.5000 0.0000
Dy 0.2003 0.3035 0.5968
Dy 0.3994 0.1018 0.2033
Dy 0.4027 0.5969 0.2014
Dy 0.5973 0.4031 0.7986
Dy 0.6006 0.8982 0.7967
Dy 0.7997 0.6965 0.4032
Y 0.2032 0.7972 0.5968
Y 0.7968 0.2028 0.4032



Here is a relaxed AcTlHg crystal from the Alexandria database. Energies are from PBE.

Summary:
Crystal system: cubic
Energy above the most stable polymorph in this dataset in meV per atom: 61.5
V in Å³ per cell: 407

Unit cell a=7.4123 b=7.4123 c=7.4123 alpha=90.00 beta=90.00 gamma=90.00
Sites, in units of the cell vectors:
Ac 0.0000 0.0000 0.0000
Ac 0.0000 0.5000 0.5000
Ac 0.5000 0.0000 0.5000
Ac 0.5000 0.5000 0.0000
Tl 0.0000 0.0000 0.5000
Tl 0.0000 0.5000 0.0000
Tl 0.5000 0.0000 0.0000
Tl 0.5000 0.5000 0.5000
Hg 0.2500 0.2500 0.7500
Hg 0.2500 0.7500 0.2500
Hg 0.7500 0.2500 0.2500
Hg 0.7500 0.7500 0.7500



Number 1: raw total energy -13.29 eV/cell, calculated formation energy -0.3771 eV/atom. Number 2: raw total energy -73.95 eV/cell, calculated formation energy 0.0162 eV/atom. Number 3: raw total energy -48.91 eV/cell, calculated formation energy 0.0343 eV/atom. Number 4: raw total energy -31.45 eV/cell, calculated formation energy -0.3618 eV/atom.